This record from Alexandria describes MnH3F after structural relaxation. The functional is PBE+U.

Cell lengths 3.438, 3.438, 3.438 Å; angles 90.00, 90.00, 90.00 degrees
Last column: magnetic moment on the atom in μB.
Atoms (fractional coordinates):
H 0.000 0.500 0.000  -0.15
H 0.000 0.000 0.500  -0.12
H 0.500 0.000 0.000  -0.14
Mn 0.000 0.000 0.000  3.83
F 0.500 0.500 0.500  -0.27

SG: Pm-3m (221)
energy: -3.74 eV per atom